The following is a DFT calculation (PBEsol) of a relaxed Tl2InPb crystal.

Calculated values
Theoretical density = 10.9 g cm⁻³
Total energy = -12.15 eV/cell
SG = No. 44
ΔH_f (0 K) = 0.023 eV per atom

Unit cell a=3.643 b=5.603 c=6.409 alpha=115.92 beta=106.51 gamma=90.00
Element x y z (fractional)
1 Tl 0.755 0.255 0.510
2 Tl 0.002 0.002 0.004
3 In 0.499 0.499 0.997
4 Pb 0.244 0.744 0.489

---

The following is a DFT calculation (PBEsol) of a relaxed Tl2InPb crystal.

Calculated values
Theoretical density = 10.9 g cm⁻³
Total energy = -12.20 eV/cell
SG = No. 166
ΔH_f (0 K) = 0.009 eV per atom

Unit cell a=3.442 b=3.442 c=11.043 alpha=81.03 beta=81.03 gamma=60.00
Element x y z (fractional)
1 Pb 0.000 0.000 0.000
2 Tl 0.752 0.752 0.743
3 Tl 0.248 0.248 0.257
4 In 0.500 0.500 0.500

---

The following is a DFT calculation (PBEsol) of a relaxed Tl2InPb crystal.

Calculated values
Theoretical density = 10.8 g cm⁻³
Total energy = -12.19 eV/cell
SG = No. 216
ΔH_f (0 K) = 0.012 eV per atom

Unit cell a=5.418 b=5.418 c=5.418 alpha=60.00 beta=60.00 gamma=60.00
Element x y z (fractional)
1 In 0.500 0.500 0.500
2 Tl 0.000 0.000 0.000
3 Tl 0.750 0.750 0.750
4 Pb 0.250 0.250 0.250

---

The following is a DFT calculation (PBEsol) of a relaxed TlInPb2 crystal.

Calculated values
Theoretical density = 10.7 g cm⁻³
Total energy = -13.47 eV/cell
SG = No. 65
ΔH_f (0 K) = 0.035 eV per atom

Unit cell a=3.336 b=3.336 c=11.582 alpha=90.00 beta=90.00 gamma=117.97
Element x y z (fractional)
1 Pb 0.000 0.000 0.755
2 Pb 0.000 0.000 0.245
3 In 0.500 0.500 0.000
4 Tl 0.500 0.500 0.500

---

Look up the total energy of the second one.
-12.20 eV/cell